Computed, not measured: crystalline BeAlMo2 at its relaxed geometry at the PBE-GGA level of DFT.

The energy of formation from the pure elements comes out at 0.075 eV/atom. Its crystal system is orthorhombic. As for the distance to the lowest polymorph of the same formula: 140.7 meV per atom.

Cell: 2.798 2.798 7.308 Å, 90.00 90.00 103.28°
Fractional positions:
Be 0.500 0.500 0.746
Mo 0.000 0.000 0.963
Mo 0.500 0.500 0.260
Al 0.000 0.000 0.530

=====

Computed, not measured: crystalline Be2AlMo at its relaxed geometry at the PBE-GGA level of DFT.

The energy of formation from the pure elements comes out at -0.007 eV/atom. Its crystal system is monoclinic.

Cell: 3.713 2.739 4.899 Å, 73.88 90.00 90.00°
Fractional positions:
Be 0.000 0.187 0.999
Be 0.500 0.062 0.252
Mo 0.000 0.456 0.464
Al 0.500 0.796 0.785

=====

Computed, not measured: crystalline Be2AlMo at its relaxed geometry at the PBE-GGA level of DFT.

The energy of formation from the pure elements comes out at -0.161 eV/atom. Its crystal system is tetragonal.

Cell: 3.467 3.683 3.683 Å, 90.00 90.00 90.00°
Fractional positions:
Be 0.000 0.000 0.000
Be 0.000 0.500 0.500
Mo 0.500 0.500 0.000
Al 0.500 0.000 0.500

=====

Computed, not measured: crystalline BeAlMo2 at its relaxed geometry at the PBE-GGA level of DFT.

The energy of formation from the pure elements comes out at -0.013 eV/atom. Its crystal system is cubic. As for the distance to the lowest polymorph of the same formula: 52.7 meV per atom.

Cell: 4.301 4.301 4.301 Å, 60.00 60.00 60.00°
Fractional positions:
Be 0.750 0.750 0.750
Mo 0.000 0.000 0.000
Mo 0.250 0.250 0.250
Al 0.500 0.500 0.500